{"formula": "KSi3Rh", "functional": "GGA-PBE", "state": "relaxed", "cell": [[4.776, 0.000, 0.000], [0.000, 4.776, 0.000], [0.000, 0.000, 4.776]], "species": ["K", "Si", "Si", "Si", "Rh"], "frac_coords": [[0.000, 0.000, 0.000], [0.000, 0.500, 0.500], [0.500, 0.000, 0.500], [0.500, 0.500, 0.000], [0.500, 0.500, 0.500]], "dft_energy_ev_per_atom": -4.568, "volume_a3_per_atom": 21.8, "m_tot_mub_per_cell": 0.000, "sg": "No. 221"}